Record 1
Computed, not measured: an optimized crystal structure of CoSn8Rh2 at the PBE-GGA level of DFT.

## Properties
**Spin magnetization**: 0.0001 μB/atom
**Energy relative to the elements**: -1.4 eV/f.u.

Cell and atoms, written as CIF:
```
data_CoSn8Rh2
_symmetry_space_group_name_H-M 'C 1 2/m 1'
_symmetry_Int_Tables_number 12
_cell_length_a 17.1386
_cell_length_b 4.2993
_cell_length_c 6.8731
_cell_angle_alpha 90.00
_cell_angle_beta 110.71
_cell_angle_gamma 90.00
loop_
_symmetry_equiv_pos_as_xyz
'x,y,z'
'-x,-y,-z'
'-x,y,-z'
'x,-y,z'
'x+1/2,y+1/2,z'
'-x+1/2,-y+1/2,-z'
'-x+1/2,y+1/2,-z'
'x+1/2,-y+1/2,z'
loop_
_atom_site_label
_atom_site_type_symbol
_atom_site_fract_x
_atom_site_fract_y
_atom_site_fract_z
Co1 Co 0.0000 0.0000 0.0000
Sn1 Sn 0.0423 0.5000 0.8343
Sn2 Sn 0.0791 0.0000 0.4405
Sn3 Sn 0.1727 0.0000 0.9796
Sn4 Sn 0.2115 0.5000 0.3279
Rh1 Rh 0.1728 0.5000 0.6817
```

---

Record 2
Computed, not measured: an optimized crystal structure of PaSiPt at the PBE-GGA level of DFT.

## Properties
**Spin magnetization**: 0.3196 μB/atom
**Formation energy (no corrections)**: -0.4207 eV per atom

Cell and atoms, written as CIF:
```
data_PaSiPt
_symmetry_space_group_name_H-M 'F -4 3 m'
_symmetry_Int_Tables_number 216
_symmetry_space_group_name_Hall 'F -4 2 3'
_cell_length_a 6.3432
_cell_length_b 6.3432
_cell_length_c 6.3432
_cell_angle_alpha 90.00
_cell_angle_beta 90.00
_cell_angle_gamma 90.00
loop_
_atom_site_label
_atom_site_type_symbol
_atom_site_fract_x
_atom_site_fract_y
_atom_site_fract_z
Pa1 Pa 0.0000 0.0000 0.0000
Si1 Si 0.2500 0.2500 0.2500
Pt1 Pt 0.0000 0.0000 0.5000
```

---

Record 3
Computed, not measured: an optimized crystal structure of HoErGaSe at the PBE-GGA level of DFT.

## Properties
**Spin magnetization**: 0.0000 μB/atom
**Formation energy (no corrections)**: -1.1539 eV per atom

Cell and atoms, written as CIF:
```
data_HoErGaSe
_symmetry_space_group_name_H-M 'R 3 m'
_symmetry_Int_Tables_number 160
_symmetry_space_group_name_Hall 'R 3 -2"'
_cell_length_a 3.9287
_cell_length_b 3.9287
_cell_length_c 21.8181
_cell_angle_alpha 90.00
_cell_angle_beta 90.00
_cell_angle_gamma 120.00
loop_
_atom_site_label
_atom_site_type_symbol
_atom_site_fract_x
_atom_site_fract_y
_atom_site_fract_z
Ho1 Ho 0.0000 0.0000 0.0000
Er1 Er 0.0000 0.0000 0.5023
Ga1 Ga 0.0000 0.0000 0.7515
Se1 Se 0.0000 0.0000 0.2507
```

---

Record 4
Computed, not measured: an optimized crystal structure of Y2BeGa2 at the PBE-GGA level of DFT.

## Properties
**Spin magnetization**: 0.0000 μB/atom
**Energy relative to the elements**: -1.9 eV/f.u.

Cell and atoms, written as CIF:
```
data_Y2BeGa2
_symmetry_space_group_name_H-M 'P 4/m b m'
_symmetry_Int_Tables_number 127
_symmetry_space_group_name_Hall '-P 4 2ab'
_cell_length_a 6.7193
_cell_length_b 6.7193
_cell_length_c 4.5912
_cell_angle_alpha 90.00
_cell_angle_beta 90.00
_cell_angle_gamma 90.00
loop_
_atom_site_label
_atom_site_type_symbol
_atom_site_fract_x
_atom_site_fract_y
_atom_site_fract_z
Y1 Y 0.1719 0.3281 0.0000
Be1 Be 0.0000 0.0000 0.5000
Ga1 Ga 0.1385 0.6385 0.5000
```

---

Record 5
Computed, not measured: an optimized crystal structure of Sm3ThSn3 at the PBE-GGA level of DFT.

## Properties
**Spin magnetization**: 0.0000 μB/atom
**Energy relative to the elements**: -3.5 eV/f.u.

Cell and atoms, written as CIF:
```
data_Sm3ThSn3
_symmetry_space_group_name_H-M 'P 63/m'
_symmetry_Int_Tables_number 176
_symmetry_space_group_name_Hall '-P 6c'
_cell_length_a 9.3050
_cell_length_b 9.3050
_cell_length_c 5.5151
_cell_angle_alpha 90.00
_cell_angle_beta 90.00
_cell_angle_gamma 120.00
loop_
_atom_site_label
_atom_site_type_symbol
_atom_site_fract_x
_atom_site_fract_y
_atom_site_fract_z
Sm1 Sm 0.0052 0.2445 0.2500
Th1 Th 0.3333 0.6667 0.2500
Sn1 Sn 0.0746 0.4514 0.7500
```

---

Record 6
Computed, not measured: an optimized crystal structure of ScS at the PBE-GGA level of DFT.

## Properties
**Spin magnetization**: 0.3614 μB/atom
**Formation energy (no corrections)**: -1.4514 eV per atom

Cell and atoms, written as CIF:
```
data_ScS
_symmetry_space_group_name_H-M 'P 63 m c'
_symmetry_Int_Tables_number 186
_symmetry_space_group_name_Hall 'P 6c -2c'
_cell_length_a 3.9087
_cell_length_b 3.9087
_cell_length_c 7.2119
_cell_angle_alpha 90.00
_cell_angle_beta 90.00
_cell_angle_gamma 120.00
loop_
_atom_site_label
_atom_site_type_symbol
_atom_site_fract_x
_atom_site_fract_y
_atom_site_fract_z
Sc1 Sc 0.3333 0.6667 0.0000
S1 S 0.3333 0.6667 0.6544
```